(1)
# PmThPb

A geometry-optimized PmThPb structure (PBE-GGA, Alexandria via LeMat-Bulk).

The structure belongs to space group I4/mmm (No. 139); the cell edges are 4.6317, 4.6317 and 18.0190 Å and the angles 90.00°, 90.00° and 90.00°. The distinct sites, in fractional coordinates, are Pm at (0.0000, 0.0000, 0.1749), Th at (0.0000, 0.5000, 0.0000) and Pb at (0.0000, 0.0000, 0.3578).

For the energy of formation, the calculation gives -379.0 meV/atom. The value obtained for the density of states at the Fermi level is 1.2249 states/eV per atom. The magnetic moment is 0.00 μB/f.u. The total DFT energy (no corrections) comes out at -5.6719 eV per atom.

---

(2)
# SiGe3N

A geometry-optimized SiGe3N structure (PBE-GGA, Alexandria via LeMat-Bulk).

The structure belongs to space group Pm-3m (No. 221); the cell edges are 4.6912, 4.6912 and 4.6912 Å and the angles 90.00°, 90.00° and 90.00°. The distinct sites, in fractional coordinates, are Si at (0.0000, 0.0000, 0.0000), Ge at (0.0000, 0.0000, 0.5000) and N at (0.5000, 0.5000, 0.5000).

The value obtained for the density of states at the Fermi level is 0.5092 states/eV per atom. The magnetic moment is 0.00 μB/f.u. The total DFT energy (no corrections) comes out at -3.9354 eV per atom.

---

(3)
# CaMoSN2

A geometry-optimized CaMoSN2 structure (PBE-GGA, Alexandria via LeMat-Bulk).

The structure belongs to space group P4/mmm (No. 123); the cell edges are 4.1109, 4.1109 and 5.0766 Å and the angles 90.00°, 90.00° and 90.00°. The distinct sites, in fractional coordinates, are Ca at (0.0000, 0.0000, 0.0000), Mo at (0.5000, 0.5000, 0.5000), S at (0.0000, 0.0000, 0.5000) and N at (0.0000, 0.5000, 0.0000).

The value obtained for the density of states at the Fermi level is 0.8907 states/eV per atom. The magnetic moment is 1.90 μB/f.u. The total DFT energy (no corrections) comes out at -4.7969 eV per atom.

---

(4)
# Rb2BeVS4

A geometry-optimized Rb2BeVS4 structure (PBE-GGA, Alexandria via LeMat-Bulk).

The structure belongs to space group Fddd (No. 70, origin choice 2); the cell edges are 5.4406, 13.5684 and 23.9211 Å and the angles 90.00°, 90.00° and 90.00°. The distinct sites, in fractional coordinates, are Rb at (0.1250, 0.1250, 0.3021), Be at (0.1250, 0.1250, 0.1250), V at (0.1250, 0.1250, 0.6250) and S at (0.1127, 0.2858, 0.4244).

The value obtained for the density of states at the Fermi level is 0.3279 states/eV per atom. The magnetic moment is 1.00 μB/f.u. The total DFT energy (no corrections) comes out at -5.0153 eV per atom.

---

(5)
# Nd5Sc3Pt12

A geometry-optimized Nd5Sc3Pt12 structure (PBE-GGA, Alexandria via LeMat-Bulk).

The structure belongs to space group Ia-3d (No. 230); the cell edges are 16.1027, 16.1027 and 16.1027 Å and the angles 90.00°, 90.00° and 90.00°. The distinct sites, in fractional coordinates, are Nd at (0.0000, 0.0000, 0.0000), Nd at (0.0000, 0.2500, 0.3750), Sc at (0.0000, 0.2500, 0.1250) and Pt at (0.0056, 0.0849, 0.6534).

For the energy of formation, the calculation gives -532.5 meV/atom. The value obtained for the density of states at the Fermi level is 0.5206 states/eV per atom. The magnetic moment is 0.00 μB/f.u. The total DFT energy (no corrections) comes out at -6.2987 eV per atom.

---

(6)
# CaTe2P

A geometry-optimized CaTe2P structure (PBE-GGA, Alexandria via LeMat-Bulk).

The structure belongs to space group Cmmm (No. 65); the cell edges are 6.5400, 7.7509 and 4.0467 Å and the angles 90.00°, 90.00° and 90.00°. The distinct sites, in fractional coordinates, are Ca at (0.0000, 0.0000, 0.0000), Te at (0.2500, 0.2500, 0.5000) and P at (0.0000, 0.5000, 0.0000).

The value obtained for the density of states at the Fermi level is 0.3786 states/eV per atom. The magnetic moment is 0.00 μB/f.u. The total DFT energy (no corrections) comes out at -3.7195 eV per atom.

---

(7)
# SrMn2Co

A geometry-optimized SrMn2Co structure (PBE-GGA, Alexandria via LeMat-Bulk).

The structure belongs to space group Imm2 (No. 44); the cell edges are 3.2161, 4.1225 and 12.4474 Å and the angles 90.00°, 90.00° and 90.00°. The distinct sites, in fractional coordinates, are Sr at (0.0000, 0.0000, 0.0000), Mn at (0.0000, 0.0000, 0.3521), Mn at (0.0000, 0.5000, 0.2190) and Co at (0.0000, 0.5000, 0.7131).

For the energy of formation, the calculation gives 586.3 meV/atom. The value obtained for the density of states at the Fermi level is 0.4944 states/eV per atom. The magnetic moment is 9.09 μB/f.u. The total DFT energy (no corrections) comes out at -6.1954 eV per atom.

---

(8)
# SrRe2Tc

A geometry-optimized SrRe2Tc structure (PBE-GGA, Alexandria via LeMat-Bulk).

The structure belongs to space group Cm (No. 8); the cell edges are 9.4588, 3.0504 and 5.9197 Å and the angles 90.00°, 103.83° and 90.00°. The distinct sites, in fractional coordinates, are Sr at (0.0000, 0.0000, 0.0000), Re at (0.0004, 0.5000, 0.4978), Re at (0.2850, 0.5000, 0.3559) and Tc at (0.2157, 0.0000, 0.6616).

For the energy of formation, the calculation gives 699.6 meV/atom. The value obtained for the density of states at the Fermi level is 0.9619 states/eV per atom. The magnetic moment is 0.00 μB/f.u. The total DFT energy (no corrections) comes out at -8.5364 eV per atom.

---

(9)
# HfScCr2Rh

A geometry-optimized HfScCr2Rh structure (PBE-GGA, Alexandria via LeMat-Bulk).

The structure belongs to space group P4/mmm (No. 123); the cell edges are 4.7432, 4.7432 and 4.7195 Å and the angles 90.00°, 90.00° and 90.00°. The distinct sites, in fractional coordinates, are Hf at (0.0000, 0.0000, 0.0000), Sc at (0.5000, 0.5000, 0.0000), Cr at (0.0000, 0.5000, 0.5000) and Rh at (0.5000, 0.5000, 0.5000).

For the energy of formation, the calculation gives 766.6 meV/atom. The value obtained for the density of states at the Fermi level is 1.4377 states/eV per atom. The magnetic moment is 5.53 μB/f.u. The total DFT energy (no corrections) comes out at -7.8100 eV per atom.

---

(10)
# Tb2Nd3Y6Tm

A geometry-optimized Tb2Nd3Y6Tm structure (PBE-GGA, Alexandria via LeMat-Bulk).

The structure belongs to space group C2/m (No. 12); the cell edges are 6.2258, 10.7767 and 11.8613 Å and the angles 90.00°, 100.03° and 90.00°. The distinct sites, in fractional coordinates, are Tb at (0.0000, 0.1666, 0.0000), Nd at (0.0000, 0.0000, 0.5000), Nd at (0.0000, 0.3334, 0.5000), Y at (0.2492, 0.0000, 0.2467), Y at (0.2486, 0.3335, 0.2466) and Tm at (0.0000, 0.5000, 0.0000).

For the energy of formation, the calculation gives 17.9 meV/atom. The value obtained for the density of states at the Fermi level is 1.3934 states/eV per atom. The magnetic moment is 0.00 μB/f.u. The total DFT energy (no corrections) comes out at -5.5504 eV per atom.

---

(11)
# NdEuZnSb

A geometry-optimized NdEuZnSb structure (PBE-GGA, Alexandria via LeMat-Bulk).

The structure belongs to space group F-43m (No. 216); the cell edges are 7.6188, 7.6188 and 7.6188 Å and the angles 90.00°, 90.00° and 90.00°. The distinct sites, in fractional coordinates, are Nd at (0.0000, 0.0000, 0.0000), Eu at (0.0000, 0.0000, 0.5000), Zn at (0.2500, 0.2500, 0.2500) and Sb at (0.2500, 0.2500, 0.7500).

The value obtained for the density of states at the Fermi level is 1.0778 states/eV per atom. The magnetic moment is 7.39 μB/f.u. The total DFT energy (no corrections) comes out at -5.6850 eV per atom.

---

(12)
# InCu2Os

A geometry-optimized InCu2Os structure (PBE-GGA, Alexandria via LeMat-Bulk).

The structure belongs to space group Pmmm (No. 47); the cell edges are 2.7159, 3.9367 and 5.6222 Å and the angles 90.00°, 90.00° and 90.00°. The distinct sites, in fractional coordinates, are In at (0.0000, 0.0000, 0.0000), Cu at (0.5000, 0.5000, 0.2771) and Os at (0.0000, 0.0000, 0.5000).

For the energy of formation, the calculation gives 391.3 meV/atom. The value obtained for the density of states at the Fermi level is 0.7458 states/eV per atom. The magnetic moment is 0.00 μB/f.u. The total DFT energy (no corrections) comes out at -5.1488 eV per atom.

---

Repeat the fourth record exactly.
# Rb2BeVS4

A geometry-optimized Rb2BeVS4 structure (PBE-GGA, Alexandria via LeMat-Bulk).

The structure belongs to space group Fddd (No. 70, origin choice 2); the cell edges are 5.4406, 13.5684 and 23.9211 Å and the angles 90.00°, 90.00° and 90.00°. The distinct sites, in fractional coordinates, are Rb at (0.1250, 0.1250, 0.3021), Be at (0.1250, 0.1250, 0.1250), V at (0.1250, 0.1250, 0.6250) and S at (0.1127, 0.2858, 0.4244).

The value obtained for the density of states at the Fermi level is 0.3279 states/eV per atom. The magnetic moment is 1.00 μB/f.u. The total DFT energy (no corrections) comes out at -5.0153 eV per atom.